Below is an optimized crystal structure of NdTiNi2, with properties calculated at the PBE level.

Unit cell a=4.201 b=4.201 c=14.694 alpha=90.00 beta=90.00 gamma=120.00
Atoms (fractional coordinates):
Nd (0.000, 0.000, 0.000)
Nd (0.333, 0.667, 0.667)
Nd (0.667, 0.333, 0.333)
Ti (0.000, 0.000, 0.500)
Ti (0.333, 0.667, 0.167)
Ti (0.667, 0.333, 0.833)
Ni (0.000, 0.000, 0.202)
Ni (0.000, 0.000, 0.798)
Ni (0.333, 0.667, 0.464)
Ni (0.333, 0.667, 0.869)
Ni (0.667, 0.333, 0.131)
Ni (0.667, 0.333, 0.536)

Distance to the lowest polymorph of the same formula: 0.000 eV/f.u.

Below is an optimized crystal structure of La3Tm4Th2, with properties calculated at the PBE level.

Unit cell a=7.061 b=8.574 c=10.359 alpha=99.19 beta=99.15 gamma=102.43
Atoms (fractional coordinates):
La (0.038, 0.171, 0.453)
La (0.258, 0.511, 0.995)
La (0.357, 0.168, 0.771)
La (0.643, 0.832, 0.229)
La (0.742, 0.489, 0.005)
La (0.962, 0.829, 0.547)
Tm (0.062, 0.842, 0.895)
Tm (0.148, 0.833, 0.241)
Tm (0.335, 0.475, 0.340)
Tm (0.467, 0.833, 0.554)
Tm (0.533, 0.167, 0.446)
Tm (0.665, 0.525, 0.660)
Tm (0.852, 0.167, 0.759)
Tm (0.938, 0.158, 0.105)
Th (0.168, 0.531, 0.660)
Th (0.444, 0.153, 0.114)
Th (0.556, 0.847, 0.886)
Th (0.832, 0.469, 0.340)

Total DFT energy (no corrections): -5.2175 eV/atom

Below is an optimized crystal structure of Ca2Be, with properties calculated at the PBE level.

Unit cell a=3.921 b=3.921 c=7.228 alpha=90.00 beta=90.00 gamma=120.00
Atoms (fractional coordinates):
Ca (0.333, 0.667, 0.259)
Ca (0.667, 0.333, 0.741)
Be (0.000, 0.000, 0.000)

Distance to the lowest polymorph of the same formula: 0.612 eV/f.u.

Below is an optimized crystal structure of AcCe2PaS8, with properties calculated at the PBE level.

Unit cell a=4.770 b=6.657 c=9.241 alpha=90.00 beta=90.00 gamma=90.00
Atoms (fractional coordinates):
Ac (0.000, 0.000, 0.000)
Ce (0.500, 0.500, 0.253)
Ce (0.500, 0.500, 0.747)
Pa (0.000, 0.000, 0.500)
S (0.000, 0.258, 0.271)
S (0.000, 0.258, 0.729)
S (0.000, 0.742, 0.271)
S (0.000, 0.742, 0.729)
S (0.500, 0.233, 0.500)
S (0.500, 0.268, 0.000)
S (0.500, 0.732, 0.000)
S (0.500, 0.767, 0.500)

Raw formation energy: -1.805 eV per atom

Below is an optimized crystal structure of CsCa2TlCl8, with properties calculated at the PBE level.

Unit cell a=6.499 b=6.641 c=8.869 alpha=89.93 beta=89.90 gamma=88.73
Atoms (fractional coordinates):
Cs (0.000, 0.000, 0.000)
Ca (0.500, 0.500, 0.252)
Ca (0.500, 0.500, 0.748)
Tl (0.000, 0.000, 0.500)
Cl (0.249, 0.842, 0.700)
Cl (0.250, 0.844, 0.300)
Cl (0.260, 0.336, 0.500)
Cl (0.272, 0.409, 0.000)
Cl (0.728, 0.591, 0.000)
Cl (0.740, 0.664, 0.500)
Cl (0.750, 0.156, 0.700)
Cl (0.751, 0.158, 0.300)

Raw formation energy: -1.683 eV per atom

Below is an optimized crystal structure of ScAlInHg2, with properties calculated at the PBE level.

Unit cell a=5.390 b=5.390 c=5.112 alpha=90.00 beta=90.00 gamma=90.00
Atoms (fractional coordinates):
Sc (0.000, 0.000, 0.000)
Al (0.500, 0.500, 0.000)
In (0.500, 0.500, 0.500)
Hg (0.000, 0.500, 0.500)
Hg (0.500, 0.000, 0.500)

Total DFT energy (no corrections): -2.0730 eV/atom

Below is an optimized crystal structure of Mg4Si3, with properties calculated at the PBE level.

Unit cell a=5.864 b=7.910 c=12.475 alpha=78.71 beta=81.10 gamma=73.31
Atoms (fractional coordinates):
Mg (0.000, 0.000, 0.000)
Mg (0.003, 0.767, 0.815)
Mg (0.031, 0.216, 0.184)
Mg (0.138, 0.128, 0.758)
Mg (0.153, 0.379, 0.918)
Mg (0.230, 0.581, 0.086)
Mg (0.292, 0.922, 0.367)
Mg (0.327, 0.230, 0.520)
Mg (0.436, 0.408, 0.691)
Mg (0.512, 0.673, 0.855)
Mg (0.527, 0.027, 0.912)
Mg (0.594, 0.553, 0.253)
Mg (0.753, 0.889, 0.470)
Mg (0.847, 0.287, 0.436)
Mg (0.901, 0.531, 0.659)
Mg (0.912, 0.821, 0.239)
Si (0.010, 0.010, 0.592)
Si (0.130, 0.603, 0.450)
Si (0.177, 0.430, 0.304)
Si (0.373, 0.880, 0.138)
Si (0.379, 0.784, 0.628)
Si (0.535, 0.598, 0.480)
Si (0.561, 0.125, 0.135)
Si (0.568, 0.181, 0.317)
Si (0.631, 0.947, 0.688)
Si (0.703, 0.401, 0.037)
Si (0.716, 0.315, 0.858)
Si (0.760, 0.710, 0.031)

Distance to the lowest polymorph of the same formula: 0.606 eV/f.u.
Raw formation energy: 0.054 eV per atom

Below is an optimized crystal structure of CaIn2Ni, with properties calculated at the PBE level.

Unit cell a=3.724 b=4.342 c=11.728 alpha=90.00 beta=90.00 gamma=90.00
Atoms (fractional coordinates):
Ca (0.000, 0.000, 0.000)
Ca (0.000, 0.500, 0.500)
In (0.000, 0.000, 0.712)
In (0.000, 0.500, 0.212)
In (0.500, 0.000, 0.329)
In (0.500, 0.500, 0.829)
Ni (0.500, 0.000, 0.554)
Ni (0.500, 0.500, 0.054)

Total DFT energy (no corrections): -3.4601 eV/atom